4
Lattice="0.0000 4.2459 4.2459 4.2459 0.0000 4.2459 4.2459 4.2459 0.0000" Properties=species:S:1:pos:R:3 comment="Ba2InHg PBE-GGA optimized geometry" sg="Fm-3m (225)" total_magnetization_mub_per_atom=0.000 dos_ef_per_ev_cell=3.79 delta_e_f_mev_per_atom=-468 pbc="T T T"
Ba 2.1230 2.1230 2.1230
Ba 6.3689 6.3689 6.3689
In 0.0000 0.0000 0.0000
Hg 4.2459 4.2459 4.2459